#one
Below is crystalline CdNiSbI2 at its relaxed geometry, with properties calculated at the PBE level.

## Properties
space-group type	P4/mmm (123)

Cell lengths 5.516, 5.516, 4.895 Å; angles 90.00, 90.00, 90.00 degrees
Fractional positions:
Cd 0.000 0.000 0.000
Ni 0.500 0.500 0.500
Sb 0.500 0.500 0.000
I 0.000 0.500 0.500
I 0.500 0.000 0.500


#two
Below is crystalline CdNiSbI2 at its relaxed geometry, with properties calculated at the PBE level.

## Properties
space-group type	P4/mmm (123)

Cell lengths 5.864, 5.864, 5.653 Å; angles 90.00, 90.00, 90.00 degrees
Fractional positions:
Cd 0.000 0.000 0.000
Ni 0.500 0.500 0.500
Sb 0.000 0.000 0.500
I 0.000 0.500 0.000
I 0.500 0.000 0.000


Calculated relative energies: #one 0; #two 711, given in meV per atom


#one
Below is crystalline NpCdI6 at its relaxed geometry, with properties calculated at the PBE level.

## Properties
space-group type	C2/m (12)

Cell lengths 7.918, 13.702, 7.308 Å; angles 90.00, 92.04, 90.00 degrees
Fractional positions:
Np 0.000 0.000 0.000
Np 0.500 0.500 0.000
Cd 0.000 0.000 0.500
Cd 0.500 0.500 0.500
I 0.152 0.152 0.758
I 0.152 0.848 0.758
I 0.195 0.500 0.741
I 0.305 0.000 0.259
I 0.348 0.348 0.242
I 0.348 0.652 0.242
I 0.652 0.348 0.758
I 0.652 0.652 0.758
I 0.695 0.000 0.741
I 0.805 0.500 0.259
I 0.848 0.152 0.242
I 0.848 0.848 0.242


#two
Below is crystalline NpCdI6 at its relaxed geometry, with properties calculated at the PBE level.

## Properties
space-group type	R-3 (148)

Cell lengths 8.146, 8.146, 8.146 Å; angles 55.12, 55.12, 55.12 degrees
Fractional positions:
Np 0.000 0.000 0.000
Cd 0.500 0.500 0.500
I 0.088 0.754 0.408
I 0.246 0.592 0.912
I 0.408 0.088 0.754
I 0.592 0.912 0.246
I 0.754 0.408 0.088
I 0.912 0.246 0.592


Calculated relative energies: #one 0; #two 51, given in meV per atom


#one
Below is crystalline CdI3O at its relaxed geometry, with properties calculated at the PBE level.

## Properties
space-group type	Pm-3m (221)

Cell lengths 5.849, 5.849, 5.849 Å; angles 90.00, 90.00, 90.00 degrees
Fractional positions:
Cd 0.000 0.000 0.000
I 0.000 0.000 0.500
I 0.000 0.500 0.000
I 0.500 0.000 0.000
O 0.500 0.500 0.500


#two
Below is crystalline CdI3O at its relaxed geometry, with properties calculated at the PBE level.

## Properties
space-group type	Pm-3m (221)

Cell lengths 5.172, 5.172, 5.172 Å; angles 90.00, 90.00, 90.00 degrees
Fractional positions:
Cd 0.000 0.000 0.000
I 0.000 0.500 0.500
I 0.500 0.000 0.500
I 0.500 0.500 0.000
O 0.500 0.500 0.500


Calculated relative energies: #one 436; #two 0, given in meV per atom


#one
Below is crystalline Cd2IO6 at its relaxed geometry, with properties calculated at the PBE level.

## Properties
space-group type	P2_1/c (14)

Cell lengths 5.610, 5.501, 10.515 Å; angles 90.00, 122.22, 90.00 degrees
Fractional positions:
Cd 0.205 0.001 0.205
Cd 0.205 0.499 0.705
Cd 0.795 0.501 0.295
Cd 0.795 0.999 0.795
I 0.500 0.000 0.000
I 0.500 0.500 0.500
O 0.202 0.195 0.847
O 0.202 0.305 0.347
O 0.221 0.690 0.501
O 0.221 0.810 0.001
O 0.494 0.699 0.349
O 0.494 0.801 0.849
O 0.506 0.199 0.151
O 0.506 0.301 0.651
O 0.779 0.190 0.999
O 0.779 0.310 0.499
O 0.798 0.695 0.653
O 0.798 0.805 0.153


#two
Below is crystalline Cd2IO6 at its relaxed geometry, with properties calculated at the PBE level.

## Properties
space-group type	P4_2/mnm (136)

Cell lengths 5.022, 5.022, 9.964 Å; angles 90.00, 90.00, 90.00 degrees
Fractional positions:
Cd 0.000 0.000 0.165
Cd 0.000 0.000 0.835
Cd 0.500 0.500 0.335
Cd 0.500 0.500 0.665
I 0.000 0.000 0.500
I 0.500 0.500 0.000
O 0.181 0.181 0.359
O 0.181 0.181 0.641
O 0.231 0.231 0.000
O 0.269 0.731 0.500
O 0.319 0.681 0.141
O 0.319 0.681 0.859
O 0.681 0.319 0.141
O 0.681 0.319 0.859
O 0.731 0.269 0.500
O 0.769 0.769 0.000
O 0.819 0.819 0.359
O 0.819 0.819 0.641


Calculated relative energies: #one 0; #two 23, given in meV per atom


#one
Below is crystalline Cd2IO5 at its relaxed geometry, with properties calculated at the PBE level.

## Properties
space-group type	Cmcm (63)

Cell lengths 6.068, 6.068, 10.779 Å; angles 90.00, 90.00, 140.55 degrees
Fractional positions:
Cd 0.143 0.857 0.570
Cd 0.143 0.857 0.930
Cd 0.857 0.143 0.070
Cd 0.857 0.143 0.430
I 0.164 0.836 0.250
I 0.836 0.164 0.750
O 0.049 0.951 0.122
O 0.049 0.951 0.378
O 0.286 0.714 0.107
O 0.286 0.714 0.393
O 0.304 0.696 0.750
O 0.696 0.304 0.250
O 0.714 0.286 0.607
O 0.714 0.286 0.893
O 0.951 0.049 0.622
O 0.951 0.049 0.878


#two
Below is crystalline Cd2IO5 at its relaxed geometry, with properties calculated at the PBE level.

## Properties
space-group type	P1 (1)

Cell lengths 4.241, 5.953, 6.032 Å; angles 66.89, 69.53, 69.15 degrees
Fractional positions:
Cd 0.000 0.000 0.000
Cd 0.384 0.711 0.524
I 0.177 0.355 0.262
O 0.177 0.099 0.587
O 0.243 0.612 0.937
O 0.411 0.067 0.114
O 0.736 0.355 0.261
O 0.975 0.643 0.410


Calculated relative energies: #one 0; #two 20, given in meV per atom


#one
Below is crystalline CdIO2 at its relaxed geometry, with properties calculated at the PBE level.

## Properties
space-group type	R-3m (166)

Cell lengths 3.480, 3.480, 19.458 Å; angles 90.00, 90.00, 120.00 degrees
Fractional positions:
Cd 0.000 0.000 0.000
Cd 0.333 0.667 0.667
Cd 0.667 0.333 0.333
I 0.000 0.000 0.500
I 0.333 0.667 0.167
I 0.667 0.333 0.833
O 0.000 0.000 0.393
O 0.000 0.000 0.607
O 0.333 0.667 0.060
O 0.333 0.667 0.273
O 0.667 0.333 0.727
O 0.667 0.333 0.940


#two
Below is crystalline CdIO2 at its relaxed geometry, with properties calculated at the PBE level.

## Properties
space-group type	Fm-3m (225)

Cell lengths 6.238, 6.238, 6.238 Å; angles 90.00, 90.00, 90.00 degrees
Fractional positions:
Cd 0.000 0.000 0.000
Cd 0.000 0.500 0.500
Cd 0.500 0.000 0.500
Cd 0.500 0.500 0.000
I 0.000 0.000 0.500
I 0.000 0.500 0.000
I 0.500 0.000 0.000
I 0.500 0.500 0.500
O 0.250 0.250 0.250
O 0.250 0.250 0.750
O 0.250 0.750 0.250
O 0.250 0.750 0.750
O 0.750 0.250 0.250
O 0.750 0.250 0.750
O 0.750 0.750 0.250
O 0.750 0.750 0.750


#three
Below is crystalline CdIO2 at its relaxed geometry, with properties calculated at the PBE level.

## Properties
space-group type	I-42d (122)

Cell lengths 6.116, 6.116, 7.421 Å; angles 90.00, 90.00, 90.00 degrees
Fractional positions:
Cd 0.000 0.000 0.000
Cd 0.000 0.500 0.250
Cd 0.500 0.000 0.750
Cd 0.500 0.500 0.500
I 0.000 0.000 0.500
I 0.000 0.500 0.750
I 0.500 0.000 0.250
I 0.500 0.500 0.000
O 0.229 0.250 0.125
O 0.250 0.729 0.375
O 0.250 0.771 0.875
O 0.271 0.250 0.625
O 0.729 0.750 0.625
O 0.750 0.229 0.875
O 0.750 0.271 0.375
O 0.771 0.750 0.125


Calculated relative energies: #one 0; #two 971; #three 501, given in meV per atom


#one
Below is crystalline CdI2O6 at its relaxed geometry, with properties calculated at the PBE level.

## Properties
space-group type	P2_12_12_1 (19)

Cell lengths 5.716, 5.920, 17.631 Å; angles 90.00, 90.00, 90.00 degrees
Fractional positions:
Cd 0.211 0.174 0.094
Cd 0.289 0.826 0.594
Cd 0.711 0.326 0.906
Cd 0.789 0.674 0.406
I 0.034 0.861 0.923
I 0.242 0.716 0.292
I 0.258 0.284 0.792
I 0.466 0.139 0.423
I 0.534 0.639 0.077
I 0.742 0.784 0.708
I 0.758 0.216 0.208
I 0.966 0.361 0.577
O 0.019 0.034 0.207
O 0.043 0.604 0.516
O 0.049 0.478 0.838
O 0.109 0.492 0.661
O 0.136 0.877 0.376
O 0.212 0.181 0.545
O 0.288 0.819 0.045
O 0.364 0.123 0.876
O 0.391 0.508 0.161
O 0.451 0.522 0.338
O 0.457 0.396 0.016
O 0.481 0.966 0.707
O 0.519 0.466 0.793
O 0.543 0.896 0.484
O 0.549 0.022 0.162
O 0.609 0.008 0.339
O 0.636 0.623 0.624
O 0.712 0.319 0.455
O 0.788 0.681 0.955
O 0.864 0.377 0.124
O 0.891 0.992 0.839
O 0.951 0.978 0.662
O 0.957 0.104 0.984
O 0.981 0.534 0.293


#two
Below is crystalline CdI2O6 at its relaxed geometry, with properties calculated at the PBE level.

## Properties
space-group type	C2/c (15)

Cell lengths 7.142, 7.142, 6.426 Å; angles 99.18, 99.18, 98.75 degrees
Fractional positions:
Cd 0.085 0.915 0.750
Cd 0.915 0.085 0.250
I 0.200 0.439 0.784
I 0.439 0.200 0.284
I 0.561 0.800 0.716
I 0.800 0.561 0.216
O 0.029 0.604 0.807
O 0.049 0.204 0.628
O 0.204 0.049 0.128
O 0.300 0.508 0.556
O 0.396 0.971 0.693
O 0.492 0.700 0.944
O 0.508 0.300 0.056
O 0.604 0.029 0.307
O 0.700 0.492 0.444
O 0.796 0.951 0.872
O 0.951 0.796 0.372
O 0.971 0.396 0.193


Calculated relative energies: #one 0; #two 69, given in meV per atom


#one
Below is crystalline Cd3IO at its relaxed geometry, with properties calculated at the PBE level.

## Properties
space-group type	Pm-3m (221)

Cell lengths 4.938, 4.938, 4.938 Å; angles 90.00, 90.00, 90.00 degrees
Fractional positions:
Cd 0.000 0.000 0.500
Cd 0.000 0.500 0.000
Cd 0.500 0.000 0.000
I 0.500 0.500 0.500
O 0.000 0.000 0.000


#two
Below is crystalline Cd3IO at its relaxed geometry, with properties calculated at the PBE level.

## Properties
space-group type	Pm-3m (221)

Cell lengths 6.288, 6.288, 6.288 Å; angles 90.00, 90.00, 90.00 degrees
Fractional positions:
Cd 0.000 0.000 0.500
Cd 0.000 0.500 0.000
Cd 0.500 0.000 0.000
I 0.000 0.000 0.000
O 0.500 0.500 0.500


Calculated relative energies: #one 0; #two 990, given in meV per atom


#one
Below is crystalline CdPbI2O at its relaxed geometry, with properties calculated at the PBE level.

## Properties
space-group type	P4/mmm (123)

Cell lengths 6.100, 6.100, 4.177 Å; angles 90.00, 90.00, 90.00 degrees
Fractional positions:
Cd 0.000 0.000 0.000
Pb 0.500 0.500 0.500
I 0.000 0.500 0.500
I 0.500 0.000 0.500
O 0.500 0.500 0.000


#two
Below is crystalline CdPbI2O at its relaxed geometry, with properties calculated at the PBE level.

## Properties
space-group type	P4/mmm (123)

Cell lengths 5.795, 5.795, 4.224 Å; angles 90.00, 90.00, 90.00 degrees
Fractional positions:
Cd 0.000 0.000 0.000
Pb 0.500 0.500 0.500
I 0.000 0.500 0.000
I 0.500 0.000 0.000
O 0.000 0.000 0.500


Calculated relative energies: #one 57; #two 0, given in meV per atom


#one
Below is crystalline CdPdI2O at its relaxed geometry, with properties calculated at the PBE level.

## Properties
space-group type	P4/mmm (123)

Cell lengths 5.702, 5.702, 3.897 Å; angles 90.00, 90.00, 90.00 degrees
Fractional positions:
Cd 0.000 0.000 0.000
Pd 0.500 0.500 0.500
I 0.000 0.500 0.500
I 0.500 0.000 0.500
O 0.500 0.500 0.000


#two
Below is crystalline CdPdI2O at its relaxed geometry, with properties calculated at the PBE level.

## Properties
space-group type	P4/mmm (123)

Cell lengths 5.922, 5.922, 4.059 Å; angles 90.00, 90.00, 90.00 degrees
Fractional positions:
Cd 0.000 0.000 0.000
Pd 0.500 0.500 0.500
I 0.000 0.500 0.000
I 0.500 0.000 0.000
O 0.000 0.000 0.500


Calculated relative energies: #one 0; #two 360, given in meV per atom


#one
Below is crystalline CdPtIO2 at its relaxed geometry, with properties calculated at the PBE level.

## Properties
space-group type	P4/mmm (123)

Cell lengths 4.073, 4.073, 5.795 Å; angles 90.00, 90.00, 90.00 degrees
Fractional positions:
Cd 0.000 0.000 0.000
Pt 0.500 0.500 0.500
I 0.500 0.500 0.000
O 0.000 0.500 0.500
O 0.500 0.000 0.500


#two
Below is crystalline CdPtIO2 at its relaxed geometry, with properties calculated at the PBE level.

## Properties
space-group type	P4/mmm (123)

Cell lengths 4.032, 4.032, 7.398 Å; angles 90.00, 90.00, 90.00 degrees
Fractional positions:
Cd 0.000 0.000 0.000
Pt 0.500 0.500 0.500
I 0.000 0.000 0.500
O 0.000 0.500 0.000
O 0.500 0.000 0.000


Calculated relative energies: #one 0; #two 389, given in meV per atom